Entry 1:
Pm7DyTl5 (PBE, optimized geometry); crystal system = orthorhombic; mass density = 8966 kg/m3; SG = Imm2, No. 44; formation enthalpy at 0 K = -0.174 eV/atom
1.0
-3.379 5.415 5.565
3.379 -5.415 5.565
3.379 5.415 -5.565
Pm Dy Tl
7 1 5
Direct
0.000 0.000 0.000
0.291 0.625 0.666
0.333 0.333 0.000
0.423 0.110 0.313
0.797 0.110 0.687
0.851 0.351 0.500
0.959 0.625 0.334
0.671 0.671 0.000
0.105 0.109 0.482
0.105 0.622 0.995
0.380 0.880 0.500
0.627 0.109 0.005
0.627 0.622 0.518


Entry 2:
Pm6Dy5Tl (PBE, optimized geometry); crystal system = orthorhombic; mass density = 8150 kg/m3; SG = Immm, No. 71; formation enthalpy at 0 K = -0.034 eV/atom
1.0
-2.513 5.010 7.632
2.513 -5.010 7.632
2.513 5.010 -7.632
Pm Dy Tl
6 5 1
Direct
0.080 0.334 0.746
0.245 0.000 0.245
0.412 0.666 0.746
0.588 0.334 0.254
0.755 0.000 0.755
0.920 0.666 0.254
0.169 0.169 0.000
0.336 0.836 0.500
0.500 0.500 0.000
0.664 0.164 0.500
0.831 0.831 0.000
0.000 0.500 0.500


Entry 3:
Pm2Dy3Tl6 (PBE, optimized geometry); crystal system = tetragonal; mass density = 8346 kg/m3; SG = I4/mmm, No. 139; formation enthalpy at 0 K = 0.139 eV/atom
1.0
-2.974 2.974 11.269
2.974 -2.974 11.269
2.974 2.974 -11.269
Pm Dy Tl
2 3 6
Direct
0.080 0.080 0.000
0.920 0.920 0.000
0.359 0.359 0.000
0.500 0.500 0.000
0.641 0.641 0.000
0.072 0.572 0.500
0.221 0.221 0.000
0.428 0.928 0.500
0.572 0.072 0.500
0.779 0.779 0.000
0.928 0.428 0.500


Entry 4:
Pm6Dy2Tl (PBE, optimized geometry); polymorph energy (0 for the lowest one) = 0.0 kJ/mol of atoms; crystal system = monoclinic; mass density = 7953 kg/m3; SG = C2/c, No. 15; formation enthalpy at 0 K = -0.009 eV/atom
1.0
10.414 -4.614 0.000
10.414 4.614 0.000
-1.948 0.000 6.081
Pm Dy Tl
12 4 2
Direct
0.007 0.151 0.442
0.081 0.581 0.081
0.151 0.007 0.942
0.348 0.493 0.782
0.419 0.919 0.419
0.493 0.348 0.282
0.507 0.652 0.718
0.581 0.081 0.581
0.652 0.507 0.218
0.849 0.993 0.058
0.919 0.419 0.919
0.993 0.849 0.558
0.173 0.327 0.420
0.327 0.173 0.920
0.673 0.827 0.080
0.827 0.673 0.580
0.251 0.749 0.250
0.749 0.251 0.750


Entry 5:
PmDy3Tl2 (PBE, optimized geometry); polymorph energy (0 for the lowest one) = 0.0 kJ/mol of atoms; crystal system = orthorhombic; mass density = 9808 kg/m3; SG = Pmc2_1, No. 26; formation enthalpy at 0 K = -0.270 eV/atom
1.0
5.133 0.000 0.000
0.000 10.049 0.000
0.000 0.000 6.834
Pm Dy Tl
2 6 4
Direct
0.000 0.043 0.000
0.000 0.957 0.500
0.000 0.317 0.623
0.000 0.683 0.123
0.500 0.191 0.278
0.500 0.456 0.906
0.500 0.544 0.406
0.500 0.809 0.778
0.000 0.367 0.161
0.000 0.633 0.661
0.500 0.137 0.740
0.500 0.863 0.240


Entry 6:
Pm2DyTl (PBE, optimized geometry); polymorph energy (0 for the lowest one) = 10.3 kJ/mol of atoms; crystal system = orthorhombic; mass density = 8761 kg/m3; SG = Pnna, No. 52; formation enthalpy at 0 K = -0.087 eV/atom
1.0
8.062 0.000 0.000
0.000 6.237 0.000
0.000 0.000 9.904
Pm Dy Tl
8 4 4
Direct
0.074 0.250 0.058
0.074 0.250 0.442
0.426 0.750 0.058
0.426 0.750 0.442
0.574 0.250 0.558
0.574 0.250 0.942
0.926 0.750 0.558
0.926 0.750 0.942
0.094 0.750 0.250
0.406 0.250 0.250
0.594 0.750 0.750
0.906 0.250 0.750
0.250 0.000 0.750
0.250 0.500 0.750
0.750 0.000 0.250
0.750 0.500 0.250


Copy entry 5 word for word.
PmDy3Tl2 (PBE, optimized geometry); polymorph energy (0 for the lowest one) = 0.0 kJ/mol of atoms; crystal system = orthorhombic; mass density = 9808 kg/m3; SG = Pmc2_1, No. 26; formation enthalpy at 0 K = -0.270 eV/atom
1.0
5.133 0.000 0.000
0.000 10.049 0.000
0.000 0.000 6.834
Pm Dy Tl
2 6 4
Direct
0.000 0.043 0.000
0.000 0.957 0.500
0.000 0.317 0.623
0.000 0.683 0.123
0.500 0.191 0.278
0.500 0.456 0.906
0.500 0.544 0.406
0.500 0.809 0.778
0.000 0.367 0.161
0.000 0.633 0.661
0.500 0.137 0.740
0.500 0.863 0.240


What did the sixth record say?
Pm2DyTl (PBE, optimized geometry); polymorph energy (0 for the lowest one) = 10.3 kJ/mol of atoms; crystal system = orthorhombic; mass density = 8761 kg/m3; SG = Pnna, No. 52; formation enthalpy at 0 K = -0.087 eV/atom
1.0
8.062 0.000 0.000
0.000 6.237 0.000
0.000 0.000 9.904
Pm Dy Tl
8 4 4
Direct
0.074 0.250 0.058
0.074 0.250 0.442
0.426 0.750 0.058
0.426 0.750 0.442
0.574 0.250 0.558
0.574 0.250 0.942
0.926 0.750 0.558
0.926 0.750 0.942
0.094 0.750 0.250
0.406 0.250 0.250
0.594 0.750 0.750
0.906 0.250 0.750
0.250 0.000 0.750
0.250 0.500 0.750
0.750 0.000 0.250
0.750 0.500 0.250